Record 1
The following is a GGA-PBE calculation of a relaxed Co2OsPt crystal, from Alexandria via LeMat-Bulk.

Computed properties:
- Electronic total energy: -7.808 eV per atom
- Formation enthalpy at 0 K: 0.0628 eV per atom

Geometry as CIF:
```
data_Co2OsPt
_chemical_formula_sum 'Co6 Os3 Pt3'
_cell_length_a 2.6772
_cell_length_b 2.6772
_cell_length_c 25.4618
_cell_angle_alpha 90.00
_cell_angle_beta 90.00
_cell_angle_gamma 120.00
_space_group_name_H-M_alt 'R -3 m'
_space_group_IT_number 166
_space_group_name_Hall '-R 3 2"'
loop_
_atom_site_label
_atom_site_type_symbol
_atom_site_fract_x
_atom_site_fract_y
_atom_site_fract_z
_atom_site_occupancy
Co1 Co 0.0000 0.0000 0.2478 1
Os1 Os 0.0000 0.0000 0.5000 1
Pt1 Pt 0.0000 0.0000 0.0000 1
```

---

Record 2
The following is a GGA-PBE calculation of a relaxed Pa8Tc5Ge crystal, from Alexandria via LeMat-Bulk.

Computed properties:
- Electronic total energy: -9.647 eV per atom
- Formation enthalpy at 0 K: -0.1892 eV per atom

Geometry as CIF:
```
data_Pa8Tc5Ge
_chemical_formula_sum 'Pa16 Tc10 Ge2'
_cell_length_a 8.712
_cell_length_b 8.712
_cell_length_c 8.187
_cell_angle_alpha 90.00
_cell_angle_beta 90.00
_cell_angle_gamma 90.00
_space_group_name_H-M_alt 'I -4'
_space_group_IT_number 82
loop_
_space_group_symop_operation_xyz
'x,y,z'
'y,-x,-z'
'-x,-y,z'
'-y,x,-z'
'x+1/2,y+1/2,z+1/2'
'y+1/2,-x+1/2,-z+1/2'
'-x+1/2,-y+1/2,z+1/2'
'-y+1/2,x+1/2,-z+1/2'
loop_
_atom_site_label
_atom_site_type_symbol
_atom_site_fract_x
_atom_site_fract_y
_atom_site_fract_z
_atom_site_occupancy
Pa1 Pa 0.057 0.177 0.322 1
Pa2 Pa 0.062 0.306 0.937 1
Tc1 Tc 0.000 0.000 0.000 1
Tc2 Tc 0.139 0.260 0.612 1
Ge1 Ge 0.000 0.500 0.250 1
```